[1]
La2HoGe3Pt12 | the Alexandria database | PBE-GGA | relaxed; density of states at the Fermi level = 7.9 states/eV/cell; energy of formation from the pure elements = -0.436 eV per atom
1.0
-5.410 -1.582 5.475
-1.695 -7.618 0.917
2.771 -3.269 6.587
La Ho Ge Pt
2 1 3 12
Direct
0.601 0.601 0.601
0.399 0.399 0.399
0.000 0.000 0.000
0.500 0.000 0.000
0.000 0.500 0.000
0.000 0.000 0.500
0.359 0.359 0.906
0.852 0.852 0.395
0.395 0.852 0.852
0.906 0.359 0.359
0.852 0.395 0.852
0.359 0.906 0.359
0.641 0.641 0.094
0.148 0.148 0.605
0.605 0.148 0.148
0.094 0.641 0.641
0.148 0.605 0.148
0.641 0.094 0.641

[2]
La2HoGe4Pt3 | the Alexandria database | PBE-GGA | relaxed; density of states at the Fermi level = 4.2 states/eV/cell; energy of formation from the pure elements = -0.966 eV per atom
1.0
-1.675 3.995 -0.495
-3.534 -1.716 -1.890
-4.965 -0.837 10.044
La Ho Ge Pt
2 1 4 3
Direct
0.500 0.000 0.232
0.000 0.500 0.768
0.500 0.500 0.500
0.500 0.500 0.000
0.000 0.000 0.000
0.500 0.000 0.661
0.000 0.500 0.339
0.000 0.000 0.500
0.500 0.000 0.884
0.000 0.500 0.116